Here is crystalline MnReNi2 at its relaxed geometry from Alexandria via LeMat-Bulk. Energies are from PBE.

V   12.294 A^3/atom
Energy relative to the lowest polymorph listed for this composition   1.1 kJ/mol of atoms
M_tot   2.938 μB/f.u.

CIF file:
```
data_MnReNi2
_chemical_formula_sum 'Mn1 Re1 Ni2'
_cell_length_a 2.5947
_cell_length_b 3.7329
_cell_length_c 5.0772
_cell_angle_alpha 90.00
_cell_angle_beta 90.00
_cell_angle_gamma 90.00
_symmetry_space_group_name_H-M 'P m m m'
_symmetry_Int_Tables_number 47
loop_
_symmetry_equiv_pos_as_xyz
'x,y,z'
'-x,-y,-z'
'-x,-y,z'
'x,y,-z'
'x,-y,-z'
'-x,y,z'
'-x,y,-z'
'x,-y,z'
loop_
_atom_site_label
_atom_site_type_symbol
_atom_site_fract_x
_atom_site_fract_y
_atom_site_fract_z
_atom_site_occupancy
Mn1 Mn 0.0000 0.0000 0.0000 1
Re1 Re 0.0000 0.0000 0.5000 1
Ni1 Ni 0.5000 0.5000 0.2509 1
```

---

Here is crystalline La4CoAg3 at its relaxed geometry from Alexandria via LeMat-Bulk. Energies are from PBE.

V   26.110 A^3/atom
M_tot   0.000 μB/f.u.

CIF file:
```
data_La4CoAg3
_chemical_formula_sum 'La4 Co1 Ag3'
_cell_length_a 3.6726
_cell_length_b 3.6726
_cell_length_c 15.4861
_cell_angle_alpha 90.00
_cell_angle_beta 90.00
_cell_angle_gamma 90.00
_symmetry_space_group_name_H-M 'P 4/m m m'
_symmetry_Int_Tables_number 123
_symmetry_space_group_name_Hall '-P 4 2'
loop_
_atom_site_label
_atom_site_type_symbol
_atom_site_fract_x
_atom_site_fract_y
_atom_site_fract_z
_atom_site_occupancy
La1 La 0.0000 0.0000 0.1045 1
La2 La 0.0000 0.0000 0.3691 1
Co1 Co 0.5000 0.5000 0.0000 1
Ag1 Ag 0.5000 0.5000 0.2399 1
Ag2 Ag 0.5000 0.5000 0.5000 1
```

---

Computed D(E_F) (states/eV per cell) in order:
3.182; 7.597
Computed calculated formation energy (eV/atom) in order:
0.0162; -0.1840
Computed density (Mg/m³) in order:
12.11; 7.46